A plane-wave DFT calculation with GGA-PBE was carried out for crystalline SmY4Th2 at its relaxed geometry.

The space group is I4/mmm (No. 139) and the conventional cell measures 5.592, 5.592 and 16.732 Å, with angles of 90.00, 90.00 and 90.00 degrees. The inequivalent atoms are Sm at (0.000, 0.000, 0.000), Y at (0.000, 0.000, 0.181), Y at (0.000, 0.500, 0.000) and Th at (0.000, 0.000, 0.386).

As for the density: 6.2 Mg/m³. Its energy above the most stable polymorph in this dataset is 712.8 meV/atom. Its total energy is -5.688 eV per atom. As for the energy of formation from the pure elements: 0.80 eV per atom. The calculation puts the total magnetization at 0.0 μB/f.u.